Record 1
Entry from Alexandria: a relaxed CeAg3Pt8 crystal (PBE).

Cell lengths 5.355, 5.355, 9.262 Å; angles 73.20, 73.20, 60.00 degrees
Atoms (fractional coordinates):
Pt  0.439  0.938  0.685
Ag  0.005  0.005  0.985
Pt  0.937  0.439  0.185
Pt  0.439  0.439  0.185
Ag  0.373  0.373  0.881
Ag  0.490  0.490  0.529
Ce  0.876  0.876  0.372
Pt  0.688  0.688  0.935
Pt  0.938  0.938  0.685
Pt  0.938  0.439  0.685
Pt  0.439  0.937  0.185
Pt  0.188  0.188  0.435

Record 2
Entry from Alexandria: a relaxed Ce4AgPt crystal (PBE).

Cell lengths 6.715, 7.078, 8.338 Å; angles 104.61, 102.77, 115.33 degrees
Last column: magnetic moment on the atom in μB.
Atoms (fractional coordinates):
Ag  0.343  0.593  0.185  0.00
Ce  0.794  0.494  0.511  0.40
Ce  0.783  0.983  0.489  0.40
Ce  0.927  0.165  0.865  0.50
Ce  0.217  0.017  0.511  0.40
Pt  0.163  0.913  0.825  -0.02
Ag  0.657  0.407  0.815  0.00
Ce  0.073  0.835  0.135  0.50
Ce  0.438  0.700  0.865  0.50
Ce  0.562  0.300  0.135  0.50
Pt  0.837  0.087  0.175  -0.02
Ce  0.206  0.506  0.489  0.40

Record 3
Entry from Alexandria: a relaxed Ce6AgPt3 crystal (PBE).

Cell lengths 7.619, 7.262, 9.565 Å; angles 90.00, 100.80, 90.00 degrees
Last column: magnetic moment on the atom in μB.
Atoms (fractional coordinates):
Ce  0.754  0.374  0.257  0.70
Ce  0.789  0.649  0.902  0.54
Ce  0.386  0.858  0.089  0.74
Ce  0.289  0.851  0.402  0.54
Ce  0.246  0.626  0.743  0.70
Ag  0.000  0.000  0.000  0.01
Ce  0.211  0.351  0.098  0.54
Pt  0.455  0.169  0.325  -0.01
Pt  0.000  0.000  0.500  -0.01
Ag  0.500  0.500  0.500  0.01
Ce  0.746  0.874  0.243  0.70
Pt  0.545  0.831  0.675  -0.01
Pt  0.045  0.669  0.175  -0.01
Ce  0.614  0.142  0.911  0.74
Ce  0.114  0.358  0.411  0.74
Ce  0.254  0.126  0.757  0.70
Ce  0.886  0.642  0.589  0.74
Pt  0.500  0.500  0.000  -0.01
Ce  0.711  0.149  0.598  0.54
Pt  0.955  0.331  0.825  -0.01

Record 4
Entry from Alexandria: a relaxed Ce2AgPt9 crystal (PBE).

Calculated values
- distance to the lowest polymorph of the same formula (meV per atom) = 0

Cell lengths 4.140, 4.140, 12.236 Å; angles 90.00, 90.00, 90.00 degrees
Atoms (fractional coordinates):
Ce  0.000  0.000  0.674
Pt  0.500  0.000  0.161
Pt  0.500  0.500  0.000
Pt  0.500  0.500  0.330
Pt  0.000  0.500  0.161
Ce  0.000  0.000  0.326
Pt  0.500  0.000  0.500
Pt  0.500  0.000  0.839
Pt  0.000  0.500  0.839
Ag  0.000  0.000  0.000
Pt  0.500  0.500  0.670
Pt  0.000  0.500  0.500

Record 5
Entry from Alexandria: a relaxed CePuAgPt crystal (PBE).

Calculated values
- distance to the lowest polymorph of the same formula (meV per atom) = 0

Cell lengths 4.874, 4.874, 4.874 Å; angles 60.00, 60.00, 60.00 degrees
Last column: magnetic moment on the atom in μB.
Atoms (fractional coordinates):
Ce  0.000  0.000  0.000  0.46
Pu  0.750  0.750  0.750  5.15
Ag  0.500  0.500  0.500  -0.04
Pt  0.250  0.250  0.250  -0.07

Record 6
Entry from Alexandria: a relaxed CePuAgPt crystal (PBE).

Calculated values
- distance to the lowest polymorph of the same formula (meV per atom) = 102

Cell lengths 5.096, 5.096, 5.096 Å; angles 60.00, 60.00, 60.00 degrees
Last column: magnetic moment on the atom in μB.
Atoms (fractional coordinates):
Ag  0.750  0.750  0.750  0.02
Pu  0.500  0.500  0.500  5.36
Ce  0.000  0.000  0.000  0.77
Pt  0.250  0.250  0.250  -0.09

Record 7
Entry from Alexandria: a relaxed CeAgPtRh crystal (PBE).

Cell lengths 4.751, 4.751, 4.751 Å; angles 60.00, 60.00, 60.00 degrees
Atoms (fractional coordinates):
Pt  0.750  0.750  0.750
Ce  0.500  0.500  0.500
Rh  0.250  0.250  0.250
Ag  0.000  0.000  0.000

Record 8
Entry from Alexandria: a relaxed CeScAgPt crystal (PBE).

Cell lengths 4.973, 4.973, 4.973 Å; angles 60.00, 60.00, 60.00 degrees
Last column: magnetic moment on the atom in μB.
Atoms (fractional coordinates):
Pt  0.750  0.750  0.750  -0.01
Ag  0.250  0.250  0.250  0.00
Ce  0.500  0.500  0.500  0.66
Sc  0.000  0.000  0.000  0.09

DFT total energy: -0.2050; -0.2070; -0.2268; -0.2353; -0.2872; -0.2835; -0.2223; -0.2157 (Ha/atom)